[1]
{
  "formula": "Nd6Si2IrCl3",
  "functional": "PBE-GGA",
  "state": "relaxed",
  "crystal_system": "monoclinic",
  "e_form_raw_ev_per_fu": -13.8,
  "cell": [[9.2849, -2.0876, 0.0000], [9.2849, 2.0876, 0.0000], [-2.0029, 0.0000, 8.4638]],
  "species": ["Nd", "Nd", "Nd", "Nd", "Nd", "Nd", "Si", "Si", "Ir", "Cl", "Cl", "Cl"],
  "frac_coords": [[0.0046, 0.0046, 0.2273], [0.3270, 0.3270, 0.4265], [0.3443, 0.3443, 0.8998], [0.6557, 0.6557, 0.1002], [0.6730, 0.6730, 0.5735], [0.9954, 0.9954, 0.7727], [0.1654, 0.1654, 0.3397], [0.8346, 0.8346, 0.6603], [0.5000, 0.5000, 0.0000], [0.1745, 0.1745, 0.8387], [0.5000, 0.5000, 0.5000], [0.8255, 0.8255, 0.1613]]
}



[2]
{
  "formula": "YPdN2O",
  "functional": "PBE-GGA",
  "state": "relaxed",
  "crystal_system": "tetragonal",
  "e_form_raw_ev_per_fu": -0.2,
  "cell": [[3.9178, 0.0000, 0.0000], [0.0000, 3.9178, 0.0000], [0.0000, 0.0000, 4.1008]],
  "species": ["Y", "Pd", "N", "N", "O"],
  "frac_coords": [[0.0000, 0.0000, 0.0000], [0.5000, 0.5000, 0.5000], [0.0000, 0.5000, 0.5000], [0.5000, 0.0000, 0.5000], [0.5000, 0.5000, 0.0000]]
}



[3]
{
  "formula": "TbH8Pd3Pt2",
  "functional": "PBE-GGA",
  "state": "relaxed",
  "crystal_system": "trigonal",
  "total_energy_ha_per_atom": -0.1606,
  "cell": [[2.8786, 1.6620, 4.7530], [-2.8786, 1.6620, 4.7530], [0.0000, -3.3239, 4.7530]],
  "species": ["Tb", "H", "H", "H", "H", "H", "H", "H", "H", "Pd", "Pd", "Pd", "Pt", "Pt"],
  "frac_coords": [[0.0000, 0.0000, 0.0000], [0.3816, 0.3816, 0.3816], [0.3873, 0.3873, 0.8685], [0.3873, 0.8685, 0.3873], [0.4716, 0.8403, 0.8403], [0.8403, 0.4716, 0.8403], [0.8403, 0.8403, 0.4716], [0.8484, 0.8484, 0.8484], [0.8685, 0.3873, 0.3873], [0.1343, 0.6257, 0.6257], [0.6257, 0.1343, 0.6257], [0.6257, 0.6257, 0.1343], [0.2536, 0.2536, 0.2536], [0.6262, 0.6262, 0.6262]]
}



[4]
{
  "formula": "La2TaIn",
  "functional": "PBE-GGA",
  "state": "relaxed",
  "crystal_system": "orthorhombic",
  "total_energy_ha_per_atom": -0.2181,
  "cell": [[3.3534, 0.0000, 0.0000], [0.0000, 4.1281, 0.0000], [0.0000, 0.0000, 7.7408]],
  "species": ["La", "La", "Ta", "In"],
  "frac_coords": [[0.0000, 0.0000, 0.0000], [0.5000, 0.5000, 0.3040], [0.0000, 0.0000, 0.5530], [0.5000, 0.5000, 0.7363]]
}



[5]
{
  "formula": "AcPuCdIn",
  "functional": "PBE-GGA",
  "state": "relaxed",
  "crystal_system": "cubic",
  "total_energy_ha_per_atom": -0.2089,
  "cell": [[0.0000, 3.9579, 3.9579], [3.9579, 0.0000, 3.9579], [3.9579, 3.9579, 0.0000]],
  "species": ["Ac", "Pu", "Cd", "In"],
  "frac_coords": [[0.0000, 0.0000, 0.0000], [0.5000, 0.5000, 0.5000], [0.2500, 0.2500, 0.2500], [0.7500, 0.7500, 0.7500]]
}



[6]
{
  "formula": "MgIn2",
  "functional": "PBE-GGA",
  "state": "relaxed",
  "crystal_system": "hexagonal",
  "total_energy_ha_per_atom": -0.0876,
  "cell": [[3.3299, 0.0000, 0.0000], [-1.6650, 2.8838, 0.0000], [0.0000, 0.0000, 15.7107]],
  "species": ["Mg", "Mg", "In", "In", "In", "In"],
  "frac_coords": [[0.0000, 0.0000, 0.1575], [0.0000, 0.0000, 0.8425], [0.0000, 0.0000, 0.5000], [0.3333, 0.6667, 0.0000], [0.3333, 0.6667, 0.3198], [0.3333, 0.6667, 0.6802]]
}



[7]
{
  "formula": "AcAgTe2O8",
  "functional": "PBE-GGA",
  "state": "relaxed",
  "crystal_system": "tetragonal",
  "e_form_raw_ev_per_fu": -15.6,
  "cell": [[-3.8837, 3.8837, 3.5348], [3.8837, -3.8837, 3.5348], [3.8837, 3.8837, -3.5348]],
  "species": ["Ac", "Ag", "Te", "Te", "O", "O", "O", "O", "O", "O", "O", "O"],
  "frac_coords": [[0.0000, 0.0000, 0.0000], [0.7500, 0.2500, 0.5000], [0.2500, 0.7500, 0.5000], [0.5000, 0.5000, 0.0000], [0.0909, 0.4038, 0.3129], [0.0909, 0.7780, 0.6871], [0.1467, 0.3288, 0.8178], [0.2220, 0.9091, 0.3129], [0.5110, 0.3288, 0.1822], [0.5962, 0.9091, 0.6871], [0.6712, 0.4890, 0.8178], [0.6712, 0.8533, 0.1822]]
}



[8]
{
  "formula": "Pr7Dy16Er6",
  "functional": "PBE-GGA",
  "state": "relaxed",
  "crystal_system": "cubic",
  "total_energy_ha_per_atom": -0.1606,
  "cell": [[0.0000, 7.9501, 7.9501], [7.9501, 0.0000, 7.9501], [7.9501, 7.9501, 0.0000]],
  "species": ["Pr", "Pr", "Pr", "Pr", "Pr", "Pr", "Pr", "Dy", "Dy", "Dy", "Dy", "Dy", "Dy", "Dy", "Dy", "Dy", "Dy", "Dy", "Dy", "Dy", "Dy", "Dy", "Dy", "Er", "Er", "Er", "Er", "Er", "Er"],
  "frac_coords": [[0.0000, 0.0000, 0.0000], [0.0000, 0.0000, 0.5000], [0.0000, 0.5000, 0.0000], [0.0000, 0.5000, 0.5000], [0.5000, 0.0000, 0.0000], [0.5000, 0.0000, 0.5000], [0.5000, 0.5000, 0.0000], [0.0561, 0.6480, 0.6480], [0.1301, 0.1301, 0.1301], [0.1301, 0.1301, 0.6098], [0.1301, 0.6098, 0.1301], [0.3520, 0.3520, 0.3520], [0.3520, 0.3520, 0.9439], [0.3520, 0.9439, 0.3520], [0.3902, 0.8699, 0.8699], [0.6098, 0.1301, 0.1301], [0.6480, 0.0561, 0.6480], [0.6480, 0.6480, 0.0561], [0.6480, 0.6480, 0.6480], [0.8699, 0.3902, 0.8699], [0.8699, 0.8699, 0.3902], [0.8699, 0.8699, 0.8699], [0.9439, 0.3520, 0.3520], [0.2530, 0.2530, 0.7470], [0.2530, 0.7470, 0.2530], [0.2530, 0.7470, 0.7470], [0.7470, 0.2530, 0.2530], [0.7470, 0.2530, 0.7470], [0.7470, 0.7470, 0.2530]]
}



[9]
{
  "formula": "CsNa2HgPb",
  "functional": "PBE-GGA",
  "state": "relaxed",
  "crystal_system": "tetragonal",
  "relative_energy_ev_per_fu": 0.315,
  "cell": [[6.0009, 0.0000, 0.0000], [0.0000, 6.0009, 0.0000], [0.0000, 0.0000, 5.9141]],
  "species": ["Cs", "Na", "Na", "Hg", "Pb"],
  "frac_coords": [[0.0000, 0.0000, 0.0000], [0.0000, 0.5000, 0.5000], [0.5000, 0.0000, 0.5000], [0.5000, 0.5000, 0.5000], [0.5000, 0.5000, 0.0000]]
}



[10]
{
  "formula": "IrC3",
  "functional": "PBE-GGA",
  "state": "relaxed",
  "crystal_system": "monoclinic",
  "relative_energy_ev_per_fu": 0.000,
  "cell": [[3.3362, -1.3089, 0.0000], [3.3362, 1.3089, 0.0000], [-1.7661, 0.0000, 4.7246]],
  "species": ["Ir", "C", "C", "C"],
  "frac_coords": [[0.0000, 0.0000, 0.0000], [0.1232, 0.1232, 0.4164], [0.6517, 0.6517, 0.5601], [0.6761, 0.6761, 0.8637]]
}



[11]
{
  "formula": "Tm3CoSn",
  "functional": "PBE-GGA",
  "state": "relaxed",
  "crystal_system": "cubic",
  "relative_energy_ev_per_fu": 0.054,
  "cell": [[5.0490, 0.0000, 0.0000], [0.0000, 5.0490, 0.0000], [0.0000, 0.0000, 5.0490]],
  "species": ["Tm", "Tm", "Tm", "Co", "Sn"],
  "frac_coords": [[0.0000, 0.0000, 0.5000], [0.0000, 0.5000, 0.0000], [0.5000, 0.0000, 0.0000], [0.0000, 0.0000, 0.0000], [0.5000, 0.5000, 0.5000]]
}



[12]
{
  "formula": "NaHoGa6",
  "functional": "PBE-GGA",
  "state": "relaxed",
  "crystal_system": "orthorhombic",
  "total_energy_ha_per_atom": -0.1198,
  "cell": [[4.3840, 0.0000, 0.0000], [0.0000, 5.9568, 0.0000], [0.0000, 0.0000, 6.1469]],
  "species": ["Na", "Ho", "Ga", "Ga", "Ga", "Ga", "Ga", "Ga"],
  "frac_coords": [[0.0000, 0.0000, 0.0000], [0.5000, 0.5000, 0.1931], [0.0000, 0.2637, 0.4491], [0.0000, 0.5000, 0.8473], [0.0000, 0.7363, 0.4491], [0.5000, 0.0000, 0.3465], [0.5000, 0.2373, 0.7395], [0.5000, 0.7627, 0.7395]]
}



[13]
{
  "formula": "Sr2CaAuN",
  "functional": "PBE-GGA",
  "state": "relaxed",
  "crystal_system": "tetragonal",
  "e_form_raw_ev_per_fu": -3.1,
  "cell": [[5.2301, 0.0000, 0.0000], [0.0000, 5.2301, 0.0000], [0.0000, 0.0000, 4.8138]],
  "species": ["Sr", "Sr", "Ca", "Au", "N"],
  "frac_coords": [[0.0000, 0.5000, 0.0000], [0.5000, 0.0000, 0.0000], [0.0000, 0.0000, 0.5000], [0.5000, 0.5000, 0.5000], [0.0000, 0.0000, 0.0000]]
}



[14]
{
  "formula": "Sc4SnAu3",
  "functional": "PBE-GGA",
  "state": "relaxed",
  "crystal_system": "trigonal",
  "total_energy_ha_per_atom": -0.2072,
  "cell": [[2.4359, 1.4064, 7.9726], [-2.4359, 1.4064, 7.9726], [0.0000, -2.8128, 7.9726]],
  "species": ["Sc", "Sc", "Sc", "Sc", "Sn", "Au", "Au", "Au"],
  "frac_coords": [[0.1212, 0.1212, 0.1212], [0.3715, 0.3715, 0.3715], [0.6285, 0.6285, 0.6285], [0.8788, 0.8788, 0.8788], [0.5000, 0.5000, 0.5000], [0.0000, 0.0000, 0.0000], [0.2497, 0.2497, 0.2497], [0.7503, 0.7503, 0.7503]]
}



[15]
{
  "formula": "CaInPb4",
  "functional": "PBE-GGA",
  "state": "relaxed",
  "crystal_system": "orthorhombic",
  "relative_energy_ev_per_fu": 0.000,
  "cell": [[2.4959, -7.3156, 0.0000], [2.4959, 7.3156, 0.0000], [0.0000, 0.0000, 4.9468]],
  "species": ["Ca", "In", "Pb", "Pb", "Pb", "Pb"],
  "frac_coords": [[0.0000, 0.0000, 0.0000], [0.5000, 0.5000, 0.5000], [0.1627, 0.8373, 0.5000], [0.3368, 0.6632, 0.0000], [0.6632, 0.3368, 0.0000], [0.8373, 0.1627, 0.5000]]
}



[16]
{
  "formula": "PuB4",
  "functional": "PBE-GGA",
  "state": "relaxed",
  "crystal_system": "tetragonal",
  "relative_energy_ev_per_fu": 0.000,
  "cell": [[7.1034, 0.0000, 0.0000], [0.0000, 7.1034, 0.0000], [0.0000, 0.0000, 4.0153]],
  "species": ["Pu", "Pu", "Pu", "Pu", "B", "B", "B", "B", "B", "B", "B", "B", "B", "B", "B", "B", "B", "B", "B", "B"],
  "frac_coords": [[0.1871, 0.3129, 0.0000], [0.3129, 0.8129, 0.0000], [0.6871, 0.1871, 0.0000], [0.8129, 0.6871, 0.0000], [0.0000, 0.0000, 0.2019], [0.0000, 0.0000, 0.7981], [0.0389, 0.8226, 0.5000], [0.0871, 0.5871, 0.5000], [0.1774, 0.0389, 0.5000], [0.3226, 0.5389, 0.5000], [0.4129, 0.0871, 0.5000], [0.4611, 0.3226, 0.5000], [0.5000, 0.5000, 0.2019], [0.5000, 0.5000, 0.7981], [0.5389, 0.6774, 0.5000], [0.5871, 0.9129, 0.5000], [0.6774, 0.4611, 0.5000], [0.8226, 0.9611, 0.5000], [0.9129, 0.4129, 0.5000], [0.9611, 0.1774, 0.5000]]
}



[17]
{
  "formula": "HfTlS2Cl",
  "functional": "PBE-GGA",
  "state": "relaxed",
  "crystal_system": "tetragonal",
  "e_form_raw_ev_per_fu": -5.8,
  "relative_energy_ev_per_fu": 0.932,
  "cell": [[4.9888, 0.0000, 0.0000], [0.0000, 4.9888, 0.0000], [0.0000, 0.0000, 5.0964]],
  "species": ["Hf", "Tl", "S", "S", "Cl"],
  "frac_coords": [[0.0000, 0.0000, 0.0000], [0.5000, 0.5000, 0.5000], [0.0000, 0.5000, 0.0000], [0.5000, 0.0000, 0.0000], [0.0000, 0.0000, 0.5000]]
}



[18]
{
  "formula": "Nd12Dy2Y5",
  "functional": "PBE-GGA",
  "state": "relaxed",
  "crystal_system": "monoclinic",
  "relative_energy_ev_per_fu": 0.550,
  "cell": [[9.6718, -3.7907, 0.0000], [9.6718, 3.7907, 0.0000], [-4.6105, 0.0000, 8.9404]],
  "species": ["Nd", "Nd", "Nd", "Nd", "Nd", "Nd", "Nd", "Nd", "Nd", "Nd", "Nd", "Nd", "Dy", "Dy", "Y", "Y", "Y", "Y", "Y"],
  "frac_coords": [[0.0027, 0.0027, 0.2081], [0.0753, 0.5964, 0.5052], [0.0881, 0.5908, 0.1523], [0.4036, 0.9247, 0.4948], [0.4092, 0.9119, 0.8477], [0.4925, 0.4925, 0.6708], [0.5075, 0.5075, 0.3292], [0.5908, 0.0881, 0.1523], [0.5964, 0.0753, 0.5052], [0.9119, 0.4092, 0.8477], [0.9247, 0.4036, 0.4948], [0.9973, 0.9973, 0.7919], [0.2996, 0.7004, 0.0000], [0.7004, 0.2996, 0.0000], [0.0000, 0.0000, 0.5000], [0.1757, 0.1757, 0.1732], [0.3200, 0.3200, 0.8065], [0.6800, 0.6800, 0.1935], [0.8243, 0.8243, 0.8268]]
}



[19]
{
  "formula": "La2YPd2",
  "functional": "PBE-GGA",
  "state": "relaxed",
  "crystal_system": "tetragonal",
  "relative_energy_ev_per_fu": 0.000,
  "cell": [[8.0461, 0.0000, 0.0000], [0.0000, 8.0461, 0.0000], [0.0000, 0.0000, 4.1147]],
  "species": ["La", "La", "La", "La", "Y", "Y", "Pd", "Pd", "Pd", "Pd"],
  "frac_coords": [[0.1688, 0.3312, 0.0000], [0.3312, 0.8312, 0.0000], [0.6688, 0.1688, 0.0000], [0.8312, 0.6688, 0.0000], [0.0000, 0.0000, 0.5000], [0.5000, 0.5000, 0.5000], [0.1309, 0.6309, 0.5000], [0.3691, 0.1309, 0.5000], [0.6309, 0.8691, 0.5000], [0.8691, 0.3691, 0.5000]]
}



[20]
{
  "formula": "Th4TeOsS2",
  "functional": "PBE-GGA",
  "state": "relaxed",
  "crystal_system": "monoclinic",
  "e_form_raw_ev_per_fu": -9.8,
  "cell": [[7.1969, 0.0000, 0.0000], [0.0000, 4.0993, 0.0000], [-2.4429, 0.0000, 7.2308]],
  "species": ["Th", "Th", "Th", "Th", "Te", "Os", "S", "S"],
  "frac_coords": [[0.2285, 0.0000, 0.2207], [0.2620, 0.5000, 0.7802], [0.7380, 0.5000, 0.2198], [0.7715, 0.0000, 0.7793], [0.5000, 0.5000, 0.5000], [0.5000, 0.0000, 0.0000], [0.0000, 0.0000, 0.5000], [0.0000, 0.5000, 0.0000]]
}



[21]
{
  "formula": "CrCdTe",
  "functional": "PBE-GGA",
  "state": "relaxed",
  "crystal_system": "tetragonal",
  "e_form_raw_ev_per_fu": 0.7,
  "relative_energy_ev_per_fu": 0.344,
  "cell": [[-1.7089, 1.7089, 6.1232], [1.7089, -1.7089, 6.1232], [1.7089, 1.7089, -6.1232]],
  "species": ["Cr", "Cd", "Te"],
  "frac_coords": [[0.0000, 0.0000, 0.0000], [0.6532, 0.6532, 0.0000], [0.3876, 0.3876, 0.0000]]
}



[22]
{
  "formula": "KMg3",
  "functional": "PBE-GGA",
  "state": "relaxed",
  "crystal_system": "orthorhombic",
  "total_energy_ha_per_atom": -0.0464,
  "cell": [[4.1180, -5.8664, 0.0000], [4.1180, 5.8664, 0.0000], [0.0000, 0.0000, 5.3306]],
  "species": ["K", "K", "Mg", "Mg", "Mg", "Mg", "Mg", "Mg"],
  "frac_coords": [[0.1312, 0.8688, 0.7500], [0.8688, 0.1312, 0.2500], [0.2240, 0.4015, 0.7500], [0.3403, 0.6597, 0.2500], [0.4015, 0.2240, 0.2500], [0.5985, 0.7760, 0.7500], [0.6597, 0.3403, 0.7500], [0.7760, 0.5985, 0.2500]]
}



[23]
{
  "formula": "LiCdFeRh",
  "functional": "PBE-GGA",
  "state": "relaxed",
  "crystal_system": "cubic",
  "total_energy_ha_per_atom": -0.1716,
  "cell": [[0.0000, 3.1062, 3.1062], [3.1062, 0.0000, 3.1062], [3.1062, 3.1062, 0.0000]],
  "species": ["Li", "Cd", "Fe", "Rh"],
  "frac_coords": [[0.0000, 0.0000, 0.0000], [0.2500, 0.2500, 0.2500], [0.7500, 0.7500, 0.7500], [0.5000, 0.5000, 0.5000]]
}